A plane-wave DFT calculation with meta-GGA SCAN was carried out for HgSb2Ir at its PBEsol-relaxed geometry.

- Formation energy from raw total energies: 0.525 eV/atom
- Crystal system: orthorhombic
- Volume: 20.783 A^3/atom
- M_tot: 0.000 Bohr magnetons per cell

abc: 5.905 7.706 3.654
angles: 90.00 90.00 90.00
Space group Cmmm (No. 65)
Unique sites:
Hg  0.000  0.000  0.000 [2 per cell]
Sb  0.250  0.250  0.500 [4 per cell]
Ir  0.000  0.500  0.000 [2 per cell]


A plane-wave DFT calculation with meta-GGA SCAN was carried out for HgSbIr at its PBEsol-relaxed geometry.

- Formation energy from raw total energies: 0.212 eV/atom
- Crystal system: tetragonal
- Volume: 20.486 A^3/atom
- M_tot: 0.000 Bohr magnetons per cell
- Excess energy over the best structure of this formula in the dataset: 87.7 meV/atom

abc: 3.096 3.096 12.826
angles: 90.00 90.00 90.00
Space group I4mm (No. 107)
Unique sites:
Hg  0.000  0.000  0.000 [2 per cell]
Sb  0.000  0.000  0.721 [2 per cell]
Ir  0.000  0.000  0.345 [2 per cell]


A plane-wave DFT calculation with meta-GGA SCAN was carried out for HgSb2Ir at its PBEsol-relaxed geometry.

- Formation energy from raw total energies: 0.187 eV/atom
- Crystal system: monoclinic
- Volume: 21.922 A^3/atom
- M_tot: 0.000 Bohr magnetons per cell

abc: 3.995 3.625 6.372
angles: 90.00 108.14 90.00
Space group Pm (No. 6)
Unique sites:
Hg  0.000  0.000  0.000 [1 per cell]
Sb  0.395  0.500  0.792 [1 per cell]
Sb  0.710  0.000  0.430 [1 per cell]
Ir  0.173  0.500  0.362 [1 per cell]


A plane-wave DFT calculation with meta-GGA SCAN was carried out for HgSbIr at its PBEsol-relaxed geometry.

- Formation energy from raw total energies: 0.124 eV/atom
- Crystal system: cubic
- Volume: 21.300 A^3/atom
- M_tot: 0.000 Bohr magnetons per cell
- Excess energy over the best structure of this formula in the dataset: 0.0 meV/atom

abc: 6.346 6.346 6.346
angles: 90.00 90.00 90.00
Space group F-43m (No. 216)
Unique sites:
Hg  0.000  0.000  0.000 [4 per cell]
Sb  0.000  0.000  0.500 [4 per cell]
Ir  0.250  0.250  0.250 [4 per cell]


> The lowest formation energy from raw total energies belongs to which entry?

number 4